# GeH3Se

A relaxed structure of GeH3Se (PBE-GGA, Alexandria via LeMat-Bulk).

Cell lengths 3.788, 3.788, 3.788 Å; angles 90.00, 90.00, 90.00 degrees
Space group Pm-3m (No. 221)
Asymmetric unit:
Ge (0.000, 0.000, 0.000) x1
H (0.000, 0.500, 0.500) x3
Se (0.500, 0.500, 0.500) x1

Properties
Calculated density (g cm⁻³): 4.72
Excess energy over the best structure of this formula in the dataset (meV per atom): 786.0

***

# KZn3Si

A relaxed structure of KZn3Si (PBE-GGA, Alexandria via LeMat-Bulk).

Cell lengths 4.979, 4.979, 4.979 Å; angles 90.00, 90.00, 90.00 degrees
Space group Pm-3m (No. 221)
Asymmetric unit:
K (0.000, 0.000, 0.000) x1
Zn (0.000, 0.500, 0.500) x3
Si (0.500, 0.500, 0.500) x1

Properties
Calculated density (g cm⁻³): 3.54
Uncorrected formation energy (eV per atom): 0.267
Excess energy over the best structure of this formula in the dataset (meV per atom): 0.0

***

# MnGa2Tc

A relaxed structure of MnGa2Tc (PBE-GGA, Alexandria via LeMat-Bulk).

Cell lengths 4.123, 4.123, 3.327 Å; angles 90.00, 90.00, 90.00 degrees
Space group P4/mmm (No. 123)
Asymmetric unit:
Mn (0.000, 0.000, 0.000) x1
Ga (0.000, 0.500, 0.500) x2
Tc (0.500, 0.500, 0.000) x1

Properties
Calculated density (g cm⁻³): 8.59
Excess energy over the best structure of this formula in the dataset (meV per atom): 0.0
ΔH_f (0 K) (eV/atom): -0.105

***

# Pu2CuAs

A relaxed structure of Pu2CuAs (PBE-GGA, Alexandria via LeMat-Bulk).

Cell lengths 4.735, 4.735, 3.818 Å; angles 90.00, 90.00, 90.00 degrees
Space group P4/mmm (No. 123)
Asymmetric unit:
Pu (0.000, 0.500, 0.000) x2
Cu (0.000, 0.000, 0.500) x1
As (0.500, 0.500, 0.500) x1

Properties
Calculated density (g cm⁻³): 12.15
ΔH_f (0 K) (eV/atom): -0.410

***

# Li2CdS2

A relaxed structure of Li2CdS2 (PBE-GGA, Alexandria via LeMat-Bulk).

Cell lengths 3.849, 3.849, 13.126 Å; angles 90.00, 90.00, 90.00 degrees
Space group I4/mmm (No. 139)
Asymmetric unit:
Li (0.000, 0.000, 0.132) x4
Cd (0.000, 0.000, 0.500) x2
S (0.000, 0.500, 0.250) x4

Properties
Calculated density (g cm⁻³): 3.25
Uncorrected formation energy (eV per atom): -0.313
Excess energy over the best structure of this formula in the dataset (meV per atom): 443.9

***

# Sb3TeW

A relaxed structure of Sb3TeW (PBE-GGA, Alexandria via LeMat-Bulk).

Cell lengths 5.592, 5.592, 5.592 Å; angles 90.00, 90.00, 90.00 degrees
Space group Pm-3m (No. 221)
Asymmetric unit:
Sb (0.000, 0.000, 0.500) x3
Te (0.000, 0.000, 0.000) x1
W (0.500, 0.500, 0.500) x1

Properties
Calculated density (g cm⁻³): 6.43
Uncorrected formation energy (eV per atom): 1.880
Excess energy over the best structure of this formula in the dataset (meV per atom): 1398.1

***

Q: What is the calculated density in the first record?
A: 4.72 g cm⁻³

***

Q: Which value of calculated density does entry 4 give?
A: 12.15 g cm⁻³

***

Q: Which of these has the lowest calculated density?
A: Li2CdS2